No. 1
# HgGeTeN2 | the Alexandria database | PBE | optimized geometry
data_HgGeTeN2
_chemical_formula_sum 'Hg1 Ge1 Te1 N2'
_cell_length_a 4.000
_cell_length_b 4.000
_cell_length_c 5.927
_cell_angle_alpha 90.00
_cell_angle_beta 90.00
_cell_angle_gamma 90.00
_space_group_name_H-M_alt 'P 4/m m m'
_space_group_IT_number 123
_space_group_name_Hall '-P 4 2'
loop_
_atom_site_label
_atom_site_fract_x
_atom_site_fract_y
_atom_site_fract_z
Hg1 0.000 0.000 0.000
Ge1 0.500 0.500 0.500
Te1 0.500 0.500 0.000
N1 0.000 0.500 0.500
# **D(E_F)**: 0.54 states/eV/atom
# **Total moment**: 2.3 Bohr magnetons per cell
# **Formation energy (no corrections)**: 6.02 eV per formula unit
# **Energy above the most stable polymorph in this dataset**: 0.00 eV/f.u.

=====

No. 2
# LiAg4Br5 | the Alexandria database | PBE | optimized geometry
data_LiAg4Br5
_chemical_formula_sum 'Li2 Ag8 Br10'
_cell_length_a 4.090
_cell_length_b 4.090
_cell_length_c 29.076
_cell_angle_alpha 90.00
_cell_angle_beta 90.00
_cell_angle_gamma 90.00
_space_group_name_H-M_alt 'I 4/m m m'
_space_group_IT_number 139
_space_group_name_Hall '-I 4 2'
loop_
_atom_site_label
_atom_site_fract_x
_atom_site_fract_y
_atom_site_fract_z
Li1 0.000 0.000 0.000
Ag1 0.000 0.000 0.199
Ag2 0.000 0.000 0.401
Br1 0.000 0.000 0.097
Br2 0.000 0.000 0.301
Br3 0.000 0.000 0.500
# **Total moment**: 0.0 Bohr magnetons per cell
# **Formation energy (no corrections)**: -5.38 eV per formula unit
# **Energy above the most stable polymorph in this dataset**: 0.40 eV/f.u.

=====

No. 3
# Dy6Tl3H | the Alexandria database | PBE | optimized geometry
data_Dy6Tl3H
_chemical_formula_sum 'Dy24 Tl12 H4'
_cell_length_a 11.536
_cell_length_b 16.835
_cell_length_c 5.358
_cell_angle_alpha 90.00
_cell_angle_beta 90.00
_cell_angle_gamma 90.00
_space_group_name_H-M_alt 'C m c 21'
_space_group_IT_number 36
_space_group_name_Hall 'C 2c -2'
loop_
_atom_site_label
_atom_site_fract_x
_atom_site_fract_y
_atom_site_fract_z
Dy1 0.000 0.085 0.000
Dy2 0.000 0.239 0.486
Dy3 0.170 0.418 0.500
Dy4 0.176 0.272 0.997
Tl1 0.000 0.418 0.000
Tl2 0.158 0.079 0.501
H1 0.000 0.216 0.060
# **D(E_F)**: 0.74 states/eV/atom
# **Total moment**: 0.0 Bohr magnetons per cell
# **Calculated total energy**: -4.11 eV per atom

=====

No. 4
# SrMg2TlPb2 | the Alexandria database | PBE | optimized geometry
data_SrMg2TlPb2
_chemical_formula_sum 'Sr1 Mg2 Tl1 Pb2'
_cell_length_a 5.2737
_cell_length_b 5.2737
_cell_length_c 7.1702
_cell_angle_alpha 90.00
_cell_angle_beta 90.00
_cell_angle_gamma 120.00
_space_group_name_H-M_alt 'P -3 m 1'
_space_group_IT_number 164
_space_group_name_Hall '-P 3 2"'
loop_
_atom_site_label
_atom_site_fract_x
_atom_site_fract_y
_atom_site_fract_z
Sr1 0.0000 0.0000 0.0000
Mg1 0.3333 0.6667 0.6754
Tl1 0.0000 0.0000 0.5000
Pb1 0.3333 0.6667 0.2217
# **D(E_F)**: 0.48 states/eV/atom
# **Total moment**: 0.0 Bohr magnetons per cell
# **Energy of formation**: -0.24 eV per atom

=====

No. 5
# AlNiAg2Sb | the Alexandria database | PBE | optimized geometry
data_AlNiAg2Sb
_chemical_formula_sum 'Al1 Ni1 Ag2 Sb1'
_cell_length_a 4.977
_cell_length_b 4.977
_cell_length_c 4.606
_cell_angle_alpha 90.00
_cell_angle_beta 90.00
_cell_angle_gamma 90.00
_space_group_name_H-M_alt 'P 4/m m m'
_space_group_IT_number 123
_space_group_name_Hall '-P 4 2'
loop_
_atom_site_label
_atom_site_fract_x
_atom_site_fract_y
_atom_site_fract_z
Al1 0.000 0.000 0.000
Ni1 0.500 0.500 0.500
Ag1 0.000 0.500 0.500
Sb1 0.500 0.500 0.000
# **D(E_F)**: 0.28 states/eV/atom
# **Total moment**: 0.0 Bohr magnetons per cell
# **Formation energy (no corrections)**: 2.16 eV per formula unit

=====

No. 6
# TbAl3NiAg | the Alexandria database | PBE | optimized geometry
data_TbAl3NiAg
_chemical_formula_sum 'Tb4 Al12 Ni4 Ag4'
_cell_length_a 5.998
_cell_length_b 12.488
_cell_length_c 5.870
_cell_angle_alpha 90.00
_cell_angle_beta 90.00
_cell_angle_gamma 90.00
_space_group_name_H-M_alt 'C m c m'
_space_group_IT_number 63
_space_group_name_Hall '-C 2c 2'
loop_
_atom_site_label
_atom_site_fract_x
_atom_site_fract_y
_atom_site_fract_z
Tb1 0.000 0.220 0.250
Al1 0.000 0.368 0.750
Al2 0.219 0.000 0.000
Ni1 0.000 0.428 0.250
Ag1 0.000 0.155 0.750
# **D(E_F)**: 0.35 states/eV/atom
# **Total moment**: 0.0 Bohr magnetons per cell
# **Energy of formation**: -0.32 eV per atom

=====

No. 7
# Mo2RuAu | the Alexandria database | PBE | optimized geometry
data_Mo2RuAu
_chemical_formula_sum 'Mo8 Ru4 Au4'
_cell_length_a 6.335
_cell_length_b 6.335
_cell_length_c 6.335
_cell_angle_alpha 90.00
_cell_angle_beta 90.00
_cell_angle_gamma 90.00
_space_group_name_H-M_alt 'F -4 3 m'
_space_group_IT_number 216
_space_group_name_Hall 'F -4 2 3'
loop_
_atom_site_label
_atom_site_fract_x
_atom_site_fract_y
_atom_site_fract_z
Mo1 0.000 0.000 0.000
Mo2 0.250 0.250 0.250
Ru1 0.250 0.250 0.750
Au1 0.000 0.000 0.500
# **D(E_F)**: 1.07 states/eV/atom
# **Total moment**: 0.0 Bohr magnetons per cell
# **Energy of formation**: 0.36 eV per atom
# **Energy above the most stable polymorph in this dataset**: 1.09 eV/f.u.

=====

No. 8
# MgFeOs | the Alexandria database | PBE | optimized geometry
data_MgFeOs
_chemical_formula_sum 'Mg2 Fe2 Os2'
_cell_length_a 4.2543
_cell_length_b 4.2543
_cell_length_c 5.3574
_cell_angle_alpha 90.00
_cell_angle_beta 90.00
_cell_angle_gamma 120.00
_space_group_name_H-M_alt 'P 63/m m c'
_space_group_IT_number 194
_space_group_name_Hall '-P 6c 2c'
loop_
_atom_site_label
_atom_site_fract_x
_atom_site_fract_y
_atom_site_fract_z
Mg1 0.0000 0.0000 0.0000
Fe1 0.3333 0.6667 0.2500
Os1 0.3333 0.6667 0.7500
# **D(E_F)**: 1.32 states/eV/atom
# **Total moment**: 0.0 Bohr magnetons per cell
# **Energy of formation**: 0.43 eV per atom
# **Energy above the most stable polymorph in this dataset**: 0.90 eV/f.u.

=====

No. 9
# DyTmZr2 | the Alexandria database | PBE | optimized geometry
data_DyTmZr2
_chemical_formula_sum 'Dy3 Tm3 Zr6'
_cell_length_a 3.3242
_cell_length_b 3.3242
_cell_length_c 32.8539
_cell_angle_alpha 90.00
_cell_angle_beta 90.00
_cell_angle_gamma 120.00
_space_group_name_H-M_alt 'R -3 m'
_space_group_IT_number 166
_space_group_name_Hall '-R 3 2"'
loop_
_atom_site_label
_atom_site_fract_x
_atom_site_fract_y
_atom_site_fract_z
Dy1 0.0000 0.0000 0.0000
Tm1 0.0000 0.0000 0.5000
Zr1 0.0000 0.0000 0.2496
# **D(E_F)**: 1.43 states/eV/atom
# **Total moment**: 0.0 Bohr magnetons per cell
# **Energy of formation**: 0.11 eV per atom
# **Energy above the most stable polymorph in this dataset**: 0.16 eV/f.u.

=====

No. 10
# Tl7SnTe6 | the Alexandria database | PBE | optimized geometry
data_Tl7SnTe6
_chemical_formula_sum 'Tl28 Sn4 Te24'
_cell_length_a 7.977
_cell_length_b 14.607
_cell_length_c 19.303
_cell_angle_alpha 90.00
_cell_angle_beta 90.00
_cell_angle_gamma 90.00
_space_group_name_H-M_alt 'I b a m'
_space_group_IT_number 72
_space_group_name_Hall '-I 2 2c'
loop_
_atom_site_label
_atom_site_fract_x
_atom_site_fract_y
_atom_site_fract_z
Tl1 0.000 0.000 0.250
Tl2 0.178 0.311 0.112
Tl3 0.230 0.484 0.500
Sn1 0.000 0.500 0.250
Te1 0.003 0.174 0.500
Te2 0.214 0.398 0.336
# **D(E_F)**: 0.39 states/eV/atom
# **Total moment**: 0.0 Bohr magnetons per cell
# **Formation energy (no corrections)**: -3.09 eV per formula unit

=====

No. 11
# BiBPt3 | the Alexandria database | PBE | optimized geometry
data_BiBPt3
_chemical_formula_sum 'Bi2 B2 Pt6'
_cell_length_a 3.162
_cell_length_b 5.464
_cell_length_c 13.414
_cell_angle_alpha 90.00
_cell_angle_beta 90.00
_cell_angle_gamma 90.00
_space_group_name_H-M_alt 'A m m 2'
_space_group_IT_number 38
_space_group_name_Hall 'A 2 -2'
loop_
_atom_site_label
_atom_site_fract_x
_atom_site_fract_y
_atom_site_fract_z
Bi1 0.000 0.000 0.000
B1 0.500 0.000 0.678
Pt1 0.000 0.247 0.178
Pt2 0.500 0.000 0.836
# **D(E_F)**: 0.27 states/eV/atom
# **Total moment**: 0.0 Bohr magnetons per cell
# **Energy of formation**: 0.07 eV per atom
# **Energy above the most stable polymorph in this dataset**: 1.42 eV/f.u.

=====

No. 12
# Te2Au | the Alexandria database | PBE | optimized geometry
data_Te2Au
_chemical_formula_sum 'Te8 Au4'
_cell_length_a 8.977
_cell_length_b 4.468
_cell_length_c 10.285
_cell_angle_alpha 90.00
_cell_angle_beta 124.72
_cell_angle_gamma 90.00
_space_group_name_H-M_alt 'P 1 2/c 1'
_space_group_IT_number 13
_space_group_name_Hall '-P 2yc'
loop_
_atom_site_label
_atom_site_fract_x
_atom_site_fract_y
_atom_site_fract_z
Te1 0.192 0.026 0.492
Te2 0.308 0.424 0.761
Au1 0.000 0.482 0.750
Au2 0.500 0.000 0.000
# **D(E_F)**: 0.19 states/eV/atom
# **Total moment**: 0.0 Bohr magnetons per cell
# **Formation energy (no corrections)**: -0.24 eV per formula unit